A geometry-optimized Li2HfBi2 structure, computed with PBE.

CIF file:
```
data_Li2HfBi2
_cell_length_a 3.783
_cell_length_b 3.783
_cell_length_c 15.722
_cell_angle_alpha 90.00
_cell_angle_beta 90.00
_cell_angle_gamma 90.00
_symmetry_space_group_name_H-M 'I 4/m m m'
_symmetry_Int_Tables_number 139
_symmetry_space_group_name_Hall '-I 4 2'
loop_
_atom_site_label
_atom_site_fract_x
_atom_site_fract_y
_atom_site_fract_z
Li1 0.000 0.500 0.250
Hf1 0.000 0.000 0.000
Bi1 0.000 0.000 0.390
```

Properties
- Calculated density: 9.01 g/cm³
- Excess energy over the best structure of this formula in the dataset: 17 meV/atom
- Electronic total energy: -4.457 eV/atom


A geometry-optimized Li2HfBiO6 structure, computed with PBE.

CIF file:
```
data_Li2HfBiO6
_cell_length_a 5.3544
_cell_length_b 5.3544
_cell_length_c 14.4384
_cell_angle_alpha 90.00
_cell_angle_beta 90.00
_cell_angle_gamma 120.00
_symmetry_space_group_name_H-M 'R 3'
_symmetry_Int_Tables_number 146
_symmetry_space_group_name_Hall 'R 3'
loop_
_atom_site_label
_atom_site_fract_x
_atom_site_fract_y
_atom_site_fract_z
Li1 0.0000 0.0000 0.0000
Li2 0.0000 0.0000 0.4980
Hf1 0.0000 0.0000 0.2175
Bi1 0.0000 0.0000 0.7144
O1 0.0271 0.6813 0.2877
O2 0.0350 0.3571 0.7897
```

Properties
- Calculated density: 6.91 g/cm³
- Energy relative to the elements, uncorrected: -1.849 eV per atom
- Electronic total energy: -6.591 eV/atom


A geometry-optimized LiHfBiPd structure, computed with PBE.

CIF file:
```
data_LiHfBiPd
_cell_length_a 6.820
_cell_length_b 6.820
_cell_length_c 6.820
_cell_angle_alpha 90.00
_cell_angle_beta 90.00
_cell_angle_gamma 90.00
_symmetry_space_group_name_H-M 'F -4 3 m'
_symmetry_Int_Tables_number 216
_symmetry_space_group_name_Hall 'F -4 2 3'
loop_
_atom_site_label
_atom_site_fract_x
_atom_site_fract_y
_atom_site_fract_z
Li1 0.000 0.000 0.000
Hf1 0.000 0.000 0.500
Bi1 0.250 0.250 0.750
Pd1 0.250 0.250 0.250
```

Properties
- Calculated density: 10.49 g/cm³
- Electronic total energy: -5.568 eV/atom


A geometry-optimized Li2HfBiS4 structure, computed with PBE.

CIF file:
```
data_Li2HfBiS4
_cell_length_a 6.651
_cell_length_b 3.664
_cell_length_c 6.911
_cell_angle_alpha 90.00
_cell_angle_beta 109.12
_cell_angle_gamma 90.00
_symmetry_space_group_name_H-M 'P 1 2/m 1'
_symmetry_Int_Tables_number 10
_symmetry_space_group_name_Hall '-P 2y'
loop_
_atom_site_label
_atom_site_fract_x
_atom_site_fract_y
_atom_site_fract_z
Li1 0.000 0.000 0.000
Li2 0.000 0.500 0.500
Hf1 0.500 0.000 0.500
Bi1 0.500 0.500 0.000
S1 0.240 0.000 0.706
S2 0.259 0.500 0.263
```

Properties
- Calculated density: 5.53 g/cm³
- Energy relative to the elements, uncorrected: -1.040 eV per atom
- Electronic total energy: -5.311 eV/atom


A geometry-optimized LiHfBiS4 structure, computed with PBE.

CIF file:
```
data_LiHfBiS4
_cell_length_a 7.534
_cell_length_b 7.947
_cell_length_c 11.237
_cell_angle_alpha 90.00
_cell_angle_beta 90.00
_cell_angle_gamma 90.00
_symmetry_space_group_name_H-M 'I m m a'
_symmetry_Int_Tables_number 74
_symmetry_space_group_name_Hall '-I 2b 2'
loop_
_atom_site_label
_atom_site_fract_x
_atom_site_fract_y
_atom_site_fract_z
Li1 0.000 0.250 0.125
Hf1 0.250 0.250 0.750
Bi1 0.000 0.000 0.500
S1 0.000 0.027 0.749
S2 0.241 0.250 0.976
```

Properties
- Calculated density: 5.16 g/cm³
- Energy relative to the elements, uncorrected: -1.120 eV per atom
- Electronic total energy: -5.728 eV/atom


A geometry-optimized Li3HfBi2Se6 structure, computed with PBE.

CIF file:
```
data_Li3HfBi2Se6
_cell_length_a 7.021
_cell_length_b 12.923
_cell_length_c 6.800
_cell_angle_alpha 90.00
_cell_angle_beta 109.06
_cell_angle_gamma 90.00
_symmetry_space_group_name_H-M 'C 1 2/m 1'
_symmetry_Int_Tables_number 12
_symmetry_space_group_name_Hall '-C 2y'
loop_
_atom_site_label
_atom_site_fract_x
_atom_site_fract_y
_atom_site_fract_z
Li1 0.000 0.000 0.000
Li2 0.000 0.359 0.000
Hf1 0.000 0.500 0.500
Bi1 0.000 0.172 0.500
Se1 0.231 0.353 0.752
Se2 0.244 0.500 0.264
```

Properties
- Calculated density: 6.21 g/cm³
- Energy relative to the elements, uncorrected: -0.852 eV per atom
- Electronic total energy: -4.549 eV/atom